VASP calculation (PBE) on crystalline LiPrZn at its relaxed geometry.

Cell lengths 3.353, 4.848, 4.848 Å; angles 120.00, 90.00, 90.00 degrees
Atoms (fractional coordinates):
Pr 0.667 0.667 0.333
Zn 0.166 0.000 0.000
Li 0.167 0.333 0.667

Results
**Energy of formation from the pure elements**: -42 kJ/mol of formula units
**Fermi-level density of states**: 2.0 states/eV/cell
**Space group**: P-6m2 (187)
**Density**: 5.2 g/cm3
**Energy relative to the lowest polymorph listed for this composition**: 0.0208 eV per atom